Here is NdSm2ZrAs4 after structural relaxation from Alexandria. Energies are from GGA-PBE.

Properties
- Formation enthalpy at 0 K: -1.403 eV/atom
- DFT total energy: -6.572 eV per atom

a b c (Å): 4.1320 7.1613 7.1544
angles (deg): 109.26 90.00 90.00
Atoms (fractional coordinates):
Nd: 0.5000 0.5000 0.0000
Sm: 0.5000 0.0000 0.5000
Sm: 0.0000 0.5000 0.5000
Zr: 0.0000 0.0000 0.0000
As: 0.5000 0.2343 0.2366
As: 0.5000 0.7657 0.7634
As: 0.0000 0.2396 0.7556
As: 0.0000 0.7604 0.2444

Here is Nd6SnAs4 after structural relaxation from Alexandria. Energies are from GGA-PBE.

Properties
- Formation enthalpy at 0 K: -1.264 eV/atom
- DFT total energy: -5.919 eV per atom

a b c (Å): 4.2789 7.3588 21.6605
angles (deg): 90.00 90.00 106.90
Last column: magnetic moment on the atom in μB.
Atoms (fractional coordinates):
Nd: 0.5000 0.0000 0.0000  0.01
Nd: 0.5000 0.0000 0.5000  0.01
Nd: 0.0427 0.0855 0.3392  0.07
Nd: 0.9573 0.9145 0.6608  0.07
Nd: 0.9573 0.9145 0.8392  0.07
Nd: 0.0427 0.0855 0.1608  0.07
Nd: 0.7728 0.5456 0.4174  0.01
Nd: 0.2272 0.4544 0.5826  0.01
Nd: 0.2272 0.4544 0.9174  0.01
Nd: 0.7728 0.5456 0.0826  0.01
Nd: 0.3295 0.6591 0.2500  0.13
Nd: 0.6705 0.3409 0.7500  0.13
Sn: 0.6623 0.3247 0.2500  -0.01
Sn: 0.3377 0.6753 0.7500  -0.01
As: 0.8624 0.7247 0.5417  0.00
As: 0.4090 0.8180 0.1254  0.00
As: 0.1376 0.2753 0.4583  0.00
As: 0.5910 0.1820 0.8746  0.00
As: 0.8624 0.7247 0.9583  0.00
As: 0.1376 0.2753 0.0417  0.00
As: 0.5910 0.1820 0.6254  0.00
As: 0.4090 0.8180 0.3746  0.00

Here is Nd8SnTe4As3 after structural relaxation from Alexandria. Energies are from GGA-PBE.

Properties
- DFT total energy: -5.723 eV per atom

a b c (Å): 8.7916 8.9233 8.7916
angles (deg): 119.51 120.00 90.00
Atoms (fractional coordinates):
Nd: 0.2463 0.7277 0.9814
Nd: 0.2463 0.7276 0.4926
Nd: 0.2599 0.2796 0.5198
Nd: 0.7350 0.7277 0.9814
Nd: 0.2650 0.2723 0.0186
Nd: 0.7401 0.7204 0.4802
Nd: 0.7537 0.2724 0.5074
Nd: 0.7537 0.2723 0.0186
Sn: 0.0000 0.5000 0.0000
Te: 0.5000 0.0000 0.0000
Te: 0.5000 0.0000 0.5000
Te: 0.0000 0.0000 0.0000
Te: 0.0000 0.0000 0.5000
As: 0.5000 0.5000 0.0000
As: 0.5000 0.5000 0.5000
As: 0.0000 0.5000 0.5000